Below is KMnSb2 at its PBEsol-relaxed geometry, with properties calculated at the meta-GGA SCAN level.

The structure in POSCAR format:
```
KMnSb2
1.0
-3.279 -2.072 1.468
0.464 -2.648 3.157
-2.266 3.947 6.366
Sb K Mn
2 1 1
Direct
0.719 0.719 0.842
0.281 0.281 0.158
0.500 0.500 0.500
0.000 0.000 0.000
```

Results
- Mass density: 5.05 g/cm³
- Formation energy (no corrections): -0.338 eV/atom
- Relative energy among the computed polymorphs: 0 meV per atom